Entry 1:
PBE Ac3SiICl, optimized geometry; DOS(E_F) = 6.53 states/eV/cell; VASP energy = -4.583 eV/atom; raw formation energy = -1.0592 eV/atom; magnetic moment = 1.79 μB/cell
1.0
-1.760 3.831 1.554
-2.417 -4.480 8.307
9.413 2.857 3.619
Si Ac I Cl
2 6 2 2
Direct
0.750 0.357 0.859
0.250 0.643 0.141
0.750 0.855 0.132
0.750 0.421 0.155
0.250 0.145 0.868
0.250 0.669 0.432
0.750 0.331 0.568
0.250 0.579 0.845
0.250 0.138 0.196
0.750 0.862 0.804
0.250 0.124 0.581
0.750 0.876 0.419


Entry 2:
PBE Na2DyI5, optimized geometry; DOS(E_F) = 0.00 states/eV/cell; VASP energy = -3.136 eV/atom; raw formation energy = -1.2622 eV/atom; magnetic moment = 0.00 μB/cell
1.0
9.053 0.000 0.000
0.000 9.417 0.000
0.000 0.000 13.955
Na I Dy
8 20 4
Direct
0.975 0.514 0.675
0.525 0.986 0.175
0.025 0.014 0.325
0.975 0.986 0.675
0.475 0.486 0.825
0.025 0.486 0.325
0.525 0.514 0.175
0.475 0.014 0.825
0.662 0.452 0.418
0.688 0.750 0.700
0.338 0.952 0.582
0.812 0.750 0.200
0.370 0.750 0.316
0.559 0.750 0.977
0.870 0.250 0.184
0.838 0.048 0.918
0.188 0.250 0.800
0.662 0.048 0.418
0.338 0.548 0.582
0.630 0.250 0.684
0.312 0.250 0.300
0.941 0.750 0.477
0.162 0.548 0.082
0.162 0.952 0.082
0.059 0.250 0.523
0.838 0.452 0.918
0.130 0.750 0.816
0.441 0.250 0.023
0.584 0.750 0.491
0.084 0.250 0.009
0.416 0.250 0.509
0.916 0.750 0.991


Entry 3:
PBE ReSiS3, optimized geometry; DOS(E_F) = 3.43 states/eV/cell; VASP energy = -4.992 eV/atom; raw formation energy = 1.0583 eV/atom; magnetic moment = 0.00 μB/cell
1.0
4.326 0.000 0.000
0.000 4.326 0.000
0.000 0.000 4.326
S Si Re
3 1 1
Direct
0.000 0.500 0.000
0.000 0.000 0.500
0.500 0.000 0.000
0.000 0.000 0.000
0.500 0.500 0.500


Entry 4:
PBE Mg2MnSb2, optimized geometry; DOS(E_F) = 1.59 states/eV/cell; VASP energy = -3.821 eV/atom; raw formation energy = 0.2996 eV/atom; magnetic moment = 5.00 μB/cell
1.0
-2.507 2.507 5.536
2.507 -2.507 5.536
2.507 2.507 -5.536
Sb Mn Mg
2 1 2
Direct
0.627 0.627 0.000
0.373 0.373 0.000
0.000 0.000 0.000
0.750 0.250 0.500
0.250 0.750 0.500